# 1
Entry from the Open Quantum Materials Database: an optimized crystal structure of KLiAgPS4 (PBE).

CIF file:
```
data_KLiAgPS4
_cell_length_a 6.5694
_cell_length_b 6.5694
_cell_length_c 8.2698
_cell_angle_alpha 90.00
_cell_angle_beta 90.00
_cell_angle_gamma 90.00
_space_group_name_H-M_alt 'I -4'
_space_group_IT_number 82
loop_
_space_group_symop_operation_xyz
'x,y,z'
'y,-x,-z'
'-x,-y,z'
'-y,x,-z'
'x+1/2,y+1/2,z+1/2'
'y+1/2,-x+1/2,-z+1/2'
'-x+1/2,-y+1/2,z+1/2'
'-y+1/2,x+1/2,-z+1/2'
loop_
_atom_site_label
_atom_site_type_symbol
_atom_site_fract_x
_atom_site_fract_y
_atom_site_fract_z
_atom_site_occupancy
K1 K 0.0000 0.0000 0.0000 1
Li1 Li 0.0000 0.5000 0.7500 1
Ag1 Ag 0.0000 0.5000 0.2500 1
P1 P 0.0000 0.0000 0.5000 1
S1 S 0.1766 0.1881 0.6418 1
```

## Properties
The calculation puts the total energy at -4.197 eV per atom.

# 2
Entry from the Open Quantum Materials Database: an optimized crystal structure of YCuReBi (PBE).

CIF file:
```
data_YCuReBi
_cell_length_a 6.8976
_cell_length_b 6.8976
_cell_length_c 6.8976
_cell_angle_alpha 90.00
_cell_angle_beta 90.00
_cell_angle_gamma 90.00
_space_group_name_H-M_alt 'F -4 3 m'
_space_group_IT_number 216
_space_group_name_Hall 'F -4 2 3'
loop_
_atom_site_label
_atom_site_type_symbol
_atom_site_fract_x
_atom_site_fract_y
_atom_site_fract_z
_atom_site_occupancy
Y1 Y 0.0000 0.0000 0.0000 1
Cu1 Cu 0.0000 0.0000 0.5000 1
Re1 Re 0.2500 0.2500 0.7500 1
Bi1 Bi 0.2500 0.2500 0.2500 1
```

## Properties
Its energy relative to the lowest polymorph listed for this composition is 270.3 meV per atom. The calculation puts the total energy at -5.953 eV per atom.

# 3
Entry from the Open Quantum Materials Database: an optimized crystal structure of Pr3Pa3Ga2 (PBE).

CIF file:
```
data_Pr3Pa3Ga2
_cell_length_a 4.6820
_cell_length_b 4.6820
_cell_length_c 12.5749
_cell_angle_alpha 90.00
_cell_angle_beta 90.00
_cell_angle_gamma 90.00
_space_group_name_H-M_alt 'P -4 m 2'
_space_group_IT_number 115
loop_
_space_group_symop_operation_xyz
'x,y,z'
'y,-x,-z'
'-x,-y,z'
'-y,x,-z'
'-x,y,z'
'-y,-x,-z'
'x,-y,z'
'y,x,-z'
loop_
_atom_site_label
_atom_site_type_symbol
_atom_site_fract_x
_atom_site_fract_y
_atom_site_fract_z
_atom_site_occupancy
Pr1 Pr 0.0000 0.0000 0.0000 1
Pr2 Pr 0.0000 0.0000 0.5000 1
Pr3 Pr 0.5000 0.5000 0.0000 1
Pa1 Pa 0.5000 0.5000 0.2936 1
Pa2 Pa 0.5000 0.5000 0.5000 1
Ga1 Ga 0.0000 0.5000 0.8405 1
```

## Properties
The calculation puts the total energy at -5.412 eV per atom.

# 4
Entry from the Open Quantum Materials Database: an optimized crystal structure of ErAg2Pd (PBE).

CIF file:
```
data_ErAg2Pd
_cell_length_a 4.9640
_cell_length_b 5.6326
_cell_length_c 5.4057
_cell_angle_alpha 90.00
_cell_angle_beta 90.00
_cell_angle_gamma 90.00
_space_group_name_H-M_alt 'P m m n'
_space_group_IT_number 59
loop_
_space_group_symop_operation_xyz
'x,y,z'
'-x,-y,-z'
'-x+1/2,-y+1/2,z'
'x+1/2,y+1/2,-z'
'x+1/2,-y,-z'
'-x+1/2,y,z'
'-x,y+1/2,-z'
'x,-y+1/2,z'
loop_
_atom_site_label
_atom_site_type_symbol
_atom_site_fract_x
_atom_site_fract_y
_atom_site_fract_z
_atom_site_occupancy
Er1 Er 0.2500 0.2500 0.1294 1
Ag1 Ag 0.2500 0.5029 0.6428 1
Pd1 Pd 0.2500 0.7500 0.1623 1
```

## Properties
The calculation puts the total energy at -4.362 eV per atom.